# 1
Computed, not measured: a relaxed structure of MnAs at the PBE-GGA level of DFT.

## Properties
The value obtained for the density is 7.348 g cm⁻³. For the magnetization, the calculation gives 2.00 μB/f.u. As for the formation energy: -0.18 eV per formula unit.

Cell: 3.2405 3.2405 3.2270 Å, 90.00 90.00 120.00°
Space group P-6m2 (No. 187)
Unique sites:
Mn (0.0000, 0.0000, 0.0000) x1
As (0.6667, 0.3333, 0.5000) x1

***

# 2
Computed, not measured: a relaxed structure of Sc2AlS at the PBE-GGA level of DFT.

## Properties
The calculation puts the formation energy from raw total energies at -0.382 eV/atom. The value obtained for the density is 2.549 g cm⁻³. Its energy above the most stable polymorph in this dataset is 0.666 eV/atom. For the magnetization, the calculation gives 0.00 μB/f.u.

Cell: 3.5775 3.5775 26.2624 Å, 90.00 90.00 120.00°
Space group R-3m (No. 166, hexagonal axes)
Unique sites:
Sc (0.0000, 0.0000, 0.0885) x6
Al (0.0000, 0.0000, 0.5000) x3
S (0.0000, 0.0000, 0.0000) x3

***

# 3
Computed, not measured: a relaxed structure of Er2MnGa at the PBE-GGA level of DFT.

## Properties
The value obtained for the density is 8.674 g cm⁻³. Its energy above the most stable polymorph in this dataset is 0.042 eV/atom. For the magnetization, the calculation gives 3.32 μB/f.u. As for the formation energy: -0.70 eV per formula unit.

Cell: 7.058 7.058 7.058 Å, 90.00 90.00 90.00°
Space group Fm-3m (No. 225)
Unique sites:
Er (0.250, 0.250, 0.250) x8
Mn (0.000, 0.000, 0.000) x4
Ga (0.000, 0.000, 0.500) x4

***

# 4
Computed, not measured: a relaxed structure of YGe at the PBE-GGA level of DFT.

## Properties
The value obtained for the density is 5.844 g cm⁻³. For the magnetization, the calculation gives 0.00 μB/f.u. As for the formation energy: -1.79 eV per formula unit.

Cell: 4.292 10.755 3.978 Å, 90.00 90.00 90.00°
Space group Cmcm (No. 63)
Unique sites:
Y (0.000, 0.138, 0.250) x4
Ge (0.000, 0.415, 0.250) x4

***

# 5
Computed, not measured: a relaxed structure of Ti8Si2Os at the PBE-GGA level of DFT.

## Properties
The calculation puts the formation energy from raw total energies at -0.412 eV/atom. The value obtained for the density is 5.891 g cm⁻³. For the magnetization, the calculation gives 0.00 μB/f.u.

Cell: 14.614 3.988 6.654 Å, 90.00 113.82 90.00°
Space group C2/m (No. 12)
Unique sites:
Ti (0.033, 0.000, 0.298) x4
Ti (0.087, 0.500, 0.953) x4
Ti (0.173, 0.500, 0.423) x4
Ti (0.183, 0.000, 0.775) x4
Si (0.190, 0.000, 0.173) x4
Os (0.000, 0.500, 0.500) x2

***

# 6
Computed, not measured: a relaxed structure of EuNbRu2 at the PBE-GGA level of DFT.

## Properties
The value obtained for the density is 9.984 g cm⁻³. For the magnetization, the calculation gives 6.86 μB/f.u. As for the formation energy: -0.32 eV per formula unit.

Cell: 3.216 3.216 7.190 Å, 90.00 90.00 90.00°
Space group P4/mmm (No. 123)
Unique sites:
Eu (0.000, 0.000, 0.000) x1
Nb (0.000, 0.000, 0.500) x1
Ru (0.500, 0.500, 0.295) x2

***

# 7
Computed, not measured: a relaxed structure of CaDy2Be at the PBE-GGA level of DFT.

## Properties
The value obtained for the density is 5.595 g cm⁻³. For the magnetization, the calculation gives 0.00 μB/f.u. As for the formation energy: 0.44 eV per formula unit.

Cell: 3.508 3.508 9.024 Å, 90.00 90.00 90.00°
Space group P4/mmm (No. 123)
Unique sites:
Ca (0.000, 0.000, 0.000) x1
Dy (0.500, 0.500, 0.324) x2
Be (0.000, 0.000, 0.500) x1

***

# 8
Computed, not measured: a relaxed structure of Pm4PtAuSe2 at the PBE-GGA level of DFT.

## Properties
The calculation puts the formation energy from raw total energies at -1.348 eV/atom. The value obtained for the density is 8.656 g cm⁻³. For the magnetization, the calculation gives 0.00 μB/f.u.

Cell: 7.178 4.129 7.686 Å, 90.00 107.93 90.00°
Space group P2/m (No. 10)
Unique sites:
Pm (0.240, 0.000, 0.238) x2
Pm (0.244, 0.500, 0.756) x2
Pt (0.000, 0.500, 0.000) x1
Au (0.500, 0.000, 0.000) x1
Se (0.000, 0.000, 0.500) x1
Se (0.500, 0.500, 0.500) x1